The following is a PBE calculation of a relaxed structure of CrCCl2, from the Alexandria database.

The structure belongs to space group Fm-3m (No. 225); the cell edges are 6.298, 6.298 and 6.298 Å and the angles 90.00°, 90.00° and 90.00°. The distinct sites, in fractional coordinates, are Cr at (0.000, 0.000, 0.000), C at (0.000, 0.000, 0.500) and Cl at (0.250, 0.250, 0.250).

The calculation puts the total moment at 13.51 μB/cell. The formation energy (no corrections) is 1450 meV/atom. The calculation puts the total energy at -0.1538 Ha/atom. Its distance to the lowest polymorph of the same formula is 260.9 meV per atom.